(1)
A plane-wave DFT calculation with PBE was carried out for a geometry-optimized Y3LuC structure.

Computed properties:
The value obtained for the formation energy is -32 meV/atom.

Cell: 5.0565 5.0565 5.0565 Å, 90.00 90.00 90.00°
Element x y z (fractional)
Y (0.0000, 0.0000, 0.5000)
Y (0.0000, 0.5000, 0.0000)
Y (0.5000, 0.0000, 0.0000)
Lu (0.5000, 0.5000, 0.5000)
C (0.0000, 0.0000, 0.0000)

=====

(2)
A plane-wave DFT calculation with PBE was carried out for a geometry-optimized BeAlReC2 structure.

Computed properties:
The value obtained for the formation energy is 2267 meV/atom.

Cell: 3.6738 3.6738 4.5465 Å, 90.00 90.00 90.00°
Element x y z (fractional)
Be (0.0000, 0.0000, 0.0000)
Al (0.0000, 0.0000, 0.5000)
Re (0.5000, 0.5000, 0.0000)
C (0.0000, 0.5000, 0.5000)
C (0.5000, 0.0000, 0.5000)

=====

(3)
A plane-wave DFT calculation with PBE was carried out for a geometry-optimized La9Co3Ag structure.

Computed properties:
The value obtained for the formation energy is -70 meV/atom.

Cell: 6.8167 10.6499 11.5562 Å, 90.00 96.68 90.00°
Element x y z (fractional)
La (0.0677, 0.2500, 0.1945)
La (0.1605, 0.5739, 0.3742)
La (0.1605, 0.9261, 0.3742)
La (0.2048, 0.2500, 0.8521)
La (0.2560, 0.5522, 0.0487)
La (0.2560, 0.9478, 0.0487)
La (0.3393, 0.2500, 0.5239)
La (0.3463, 0.5697, 0.6954)
La (0.3463, 0.9303, 0.6954)
La (0.6537, 0.0697, 0.3046)
La (0.6537, 0.4303, 0.3046)
La (0.6607, 0.7500, 0.4761)
La (0.7440, 0.0522, 0.9513)
La (0.7440, 0.4478, 0.9513)
La (0.7952, 0.7500, 0.1479)
La (0.8395, 0.0739, 0.6258)
La (0.8395, 0.4261, 0.6258)
La (0.9323, 0.7500, 0.8055)
Co (0.0605, 0.0059, 0.8304)
Co (0.0605, 0.4941, 0.8304)
Co (0.5000, 0.0000, 0.5000)
Co (0.5000, 0.5000, 0.5000)
Co (0.9395, 0.5059, 0.1696)
Co (0.9395, 0.9941, 0.1696)
Ag (0.4856, 0.2500, 0.0925)
Ag (0.5144, 0.7500, 0.9075)

=====

(4)
A plane-wave DFT calculation with PBE was carried out for a geometry-optimized TaPb2Se structure.

Computed properties:
The value obtained for the energy relative to the elements, uncorrected is 1.50 eV/f.u.

Cell: 3.5798 5.5835 5.1414 Å, 90.00 91.34 90.00°
Element x y z (fractional)
Ta (0.0000, 0.0000, 0.0000)
Pb (0.2617, 0.5000, 0.2452)
Pb (0.7383, 0.5000, 0.7548)
Se (0.0000, 0.0000, 0.5000)

=====

For the records above, the corresponding DOS(E_F) values read 6.9 5.8 33.4 2.2 states/eV/cell.
For the records above, the corresponding E_tot values read -6.66 -5.41 -5.34 -5.31 eV per atom.